Entry 1:
Material: ScCr2Ru
Method: DFT, GGA-PBEsol
State: relaxed

a = 2.725 Å, b = 2.725 Å, c = 8.767 Å
α = 81.06°, β = 81.06°, γ = 60.00°
Sites, in units of the cell vectors:
Cr 0.256 0.256 0.233
Cr 0.744 0.744 0.767
Ru 0.000 0.000 0.000
Sc 0.500 0.500 0.500

Symmetry = R-3m, No. 166
Distance to the lowest polymorph of the same formula = 264 meV/atom
Formation enthalpy at 0 K = 462 meV per atom

=====

Entry 2:
Material: ScCr2Ru
Method: DFT, GGA-PBEsol
State: relaxed

a = 2.705 Å, b = 4.209 Å, c = 4.886 Å
α = 90.00°, β = 103.04°, γ = 90.00°
Sites, in units of the cell vectors:
Cr 0.743 0.000 0.757
Cr 0.257 0.000 0.243
Ru 0.500 0.500 0.000
Sc 0.000 0.500 0.500

Symmetry = P2/m, No. 10
Distance to the lowest polymorph of the same formula = 0 meV/atom
Formation enthalpy at 0 K = 199 meV per atom

=====

Entry 3:
Material: SrScCr2Ru
Method: DFT, GGA-PBEsol
State: relaxed

a = 4.611 Å, b = 5.018 Å, c = 5.018 Å
α = 90.00°, β = 90.00°, γ = 90.00°
Last column: magnetic moment on the atom in μB.
Sites, in units of the cell vectors:
Sc 0.000 0.000 0.000  0.09
Ru 0.500 0.000 0.000  0.33
Cr 0.000 0.000 0.500  3.67
Cr 0.000 0.500 0.000  3.67
Sr 0.500 0.500 0.500  0.03

Symmetry = P4/mmm, No. 123
Formation enthalpy at 0 K = 1256 meV per atom

=====

Entry 4:
Material: Cr2RuSe
Method: DFT, GGA-PBEsol
State: relaxed

a = 2.800 Å, b = 2.800 Å, c = 7.926 Å
α = 79.82°, β = 79.82°, γ = 60.00°
Sites, in units of the cell vectors:
Cr 0.001 0.001 0.996
Cr 0.747 0.747 0.760
Ru 0.494 0.494 0.517
Se 0.258 0.258 0.227

Calculated total energy = -33.3 eV/f.u.
Symmetry = R3m, No. 160

=====

Entry 5:
Material: CrSi4Ru
Method: DFT, GGA-PBEsol
State: relaxed

a = 4.762 Å, b = 4.762 Å, c = 4.762 Å
α = 60.00°, β = 60.00°, γ = 60.00°
Last column: magnetic moment on the atom in μB.
Sites, in units of the cell vectors:
Cr 0.250 0.250 0.250  2.38
Ru 0.000 0.000 0.000  0.18
Si 0.625 0.625 0.125  -0.03
Si 0.125 0.625 0.625  -0.03
Si 0.625 0.125 0.625  -0.03
Si 0.625 0.625 0.625  -0.03

Calculated total energy = -41.1 eV/f.u.
Symmetry = F-43m, No. 216

=====

Entry 6:
Material: CrSiRu2
Method: DFT, GGA-PBEsol
State: relaxed

a = 2.914 Å, b = 4.142 Å, c = 4.142 Å
α = 90.00°, β = 90.00°, γ = 90.00°
Last column: magnetic moment on the atom in μB.
Sites, in units of the cell vectors:
Ru 0.000 0.000 0.500  -0.07
Ru 0.000 0.500 0.000  -0.07
Si 0.500 0.500 0.500  0.00
Cr 0.500 0.000 0.000  2.03

Calculated total energy = -37.7 eV/f.u.
Symmetry = P4/mmm, No. 123

=====

Entry 7:
Material: CrSiRu2
Method: DFT, GGA-PBEsol
State: relaxed

a = 2.788 Å, b = 2.788 Å, c = 6.331 Å
α = 90.00°, β = 90.00°, γ = 90.00°
Sites, in units of the cell vectors:
Cr 0.500 0.500 0.733
Ru 0.000 0.000 0.983
Ru 0.500 0.500 0.277
Si 0.000 0.000 0.506

Calculated total energy = -37.1 eV/f.u.
Symmetry = P4mm, No. 99

=====

Entry 8:
Material: CrSn2Ru
Method: DFT, GGA-PBEsol
State: relaxed

a = 4.567 Å, b = 4.567 Å, c = 4.567 Å
α = 60.00°, β = 60.00°, γ = 60.00°
Last column: magnetic moment on the atom in μB.
Sites, in units of the cell vectors:
Ru 0.500 0.500 0.500  0.11
Sn 0.250 0.250 0.250  -0.07
Sn 0.750 0.750 0.750  -0.07
Cr 0.000 0.000 0.000  2.99

Symmetry = Fm-3m, No. 225
Formation enthalpy at 0 K = 191 meV per atom

=====

Entry 9:
Material: Cr2SnRuW
Method: DFT, GGA-PBEsol
State: relaxed

a = 4.686 Å, b = 4.686 Å, c = 4.918 Å
α = 90.00°, β = 90.00°, γ = 90.00°
Last column: magnetic moment on the atom in μB.
Sites, in units of the cell vectors:
Ru 0.500 0.500 0.500  -1.64
Sn 0.000 0.000 0.000  -0.05
W 0.000 0.000 0.500  -0.35
Cr 0.000 0.500 0.000  3.39
Cr 0.500 0.000 0.000  3.39

Symmetry = P4/mmm, No. 123
Formation enthalpy at 0 K = 2586 meV per atom

=====

Entry 10:
Material: SrCrRu2
Method: DFT, GGA-PBEsol
State: relaxed

a = 3.139 Å, b = 3.139 Å, c = 7.260 Å
α = 90.00°, β = 90.00°, γ = 90.00°
Sites, in units of the cell vectors:
Cr 0.500 0.500 0.848
Ru 0.000 0.000 0.977
Ru 0.500 0.500 0.178
Sr 0.000 0.000 0.496

Symmetry = P4mm, No. 99
Distance to the lowest polymorph of the same formula = 200 meV/atom
Formation enthalpy at 0 K = 702 meV per atom

=====

Entry 11:
Material: SrCrRu2
Method: DFT, GGA-PBEsol
State: relaxed

a = 2.998 Å, b = 2.998 Å, c = 7.433 Å
α = 90.00°, β = 90.00°, γ = 90.00°
Last column: magnetic moment on the atom in μB.
Sites, in units of the cell vectors:
Cr 0.500 0.500 0.500  0.65
Ru 0.000 0.000 0.680  0.05
Ru 0.000 0.000 0.320  0.05
Sr 0.500 0.500 0.000  0.03

Symmetry = P4/mmm, No. 123
Distance to the lowest polymorph of the same formula = 0 meV/atom
Formation enthalpy at 0 K = 502 meV per atom

=====

Entry 12:
Material: Sr3CrRu
Method: DFT, GGA-PBEsol
State: relaxed

a = 5.581 Å, b = 5.581 Å, c = 5.581 Å
α = 90.00°, β = 90.00°, γ = 90.00°
Last column: magnetic moment on the atom in μB.
Sites, in units of the cell vectors:
Ru 0.000 0.000 0.000  -0.02
Cr 0.500 0.500 0.500  4.17
Sr 0.000 0.500 0.000  0.01
Sr 0.000 0.000 0.500  0.01
Sr 0.500 0.000 0.000  0.01

Symmetry = Pm-3m, No. 221
Formation enthalpy at 0 K = 804 meV per atom

=====

What size of the total moment values result from the calculations? In sequence: 0.00; 0.00; 8.70; 0.00; 2.52; 1.98; 0.00; 3.15; 5.23; 0.00; 0.89; 5.16 μB per cell.